Record 1
Below is an optimized crystal structure of NaTaTi2O8, with properties calculated at the GGA-PBE level.

Properties
Energy relative to the elements, uncorrected: -2.26 eV per atom
Calculated total energy: -7.98 eV per atom
Symmetry: No. 119

a = 5.8682 Å, b = 5.8682 Å, c = 5.8682 Å
α = 106.45°, β = 106.45°, γ = 115.71°
With the nearest neighbours (Å) after each atom.
Positions (direct):
Na 0.0000 0.0000 0.0000  4 O 2.27
Ta 0.2500 0.7500 0.5000  8 O 2.05-2.19
Ti 0.7500 0.2500 0.5000  4 O 1.83
Ti 0.5000 0.5000 0.0000  4 O 1.83
O 0.3583 0.0373 0.3210  1 Ti 1.83
O 0.3443 0.5645 0.2202  1 Ti 1.83
O 0.3443 0.1241 0.7798  1 Ti 1.83
O 0.7162 0.0373 0.6790  1 Ti 1.83
O 0.8759 0.6557 0.2202  1 Ti 1.83
O 0.9627 0.2838 0.3210  1 Ti 1.83
O 0.9627 0.6417 0.6790  1 Ti 1.83
O 0.4355 0.6557 0.7798  1 Ti 1.83

***

Record 2
Below is an optimized crystal structure of NaTaTl2O4, with properties calculated at the GGA-PBE level.

Properties
Energy relative to the elements, uncorrected: -1.82 eV per atom
Calculated total energy: -6.54 eV per atom
Symmetry: No. 1

a = 5.7852 Å, b = 5.7859 Å, c = 6.4223 Å
α = 116.76°, β = 116.82°, γ = 89.96°
With the nearest neighbours (Å) after each atom.
Positions (direct):
Na 0.9859 0.4860 0.9718  4 O 2.33
Ta 0.7358 0.7358 0.4717  4 O 1.88
Tl 0.4860 0.9861 0.9718  4 O 2.74-2.75
Tl 0.2362 0.2362 0.4720  4 O 2.80-2.81
O 0.6903 0.6272 0.6887  1 Ta 1.88
O 0.8444 0.4737 0.2544  1 Ta 1.88
O 0.4102 0.7807 0.2534  1 Ta 1.88
O 0.9983 0.0614 0.6902  1 Ta 1.88

***

Record 3
Below is an optimized crystal structure of NaTa2Tl2O7, with properties calculated at the GGA-PBE level.

Properties
Energy relative to the elements, uncorrected: -2.07 eV per atom
Calculated total energy: -7.44 eV per atom
Symmetry: No. 12

a = 3.9858 Å, b = 3.9858 Å, c = 11.1571 Å
α = 83.66°, β = 83.66°, γ = 89.14°
With the nearest neighbours (Å) after each atom.
Positions (direct):
Na 0.0000 0.0000 0.0000  12 O 2.79-2.84
Ta 0.5714 0.5714 0.8194  6 O 1.93-2.06
Ta 0.4286 0.4286 0.1806  6 O 1.93-2.06
Tl 0.8177 0.8177 0.3944  1 O 2.44
Tl 0.1823 0.1823 0.6056  1 O 2.44
O 0.5000 0.5000 0.0000  2 Ta 1.99
O 0.4020 0.4020 0.3642  1 Ta 2.03
O 0.5980 0.5980 0.6358  1 Ta 2.03
O 0.9444 0.4498 0.1784  2 Ta 1.93-2.06
O 0.4498 0.9444 0.1784  2 Ta 1.93-2.06
O 0.5502 0.0556 0.8216  2 Ta 1.93-2.06
O 0.0556 0.5502 0.8216  2 Ta 1.93-2.06

***

Record 4
Below is an optimized crystal structure of Na2TaTlO6, with properties calculated at the GGA-PBE level.

Properties
Energy relative to the elements, uncorrected: -1.51 eV per atom
Calculated total energy: -6.17 eV per atom
Symmetry: No. 146

a = 5.6583 Å, b = 5.6572 Å, c = 5.9883 Å
α = 61.82°, β = 61.82°, γ = 59.99°
With the nearest neighbours (Å) after each atom.
Positions (direct):
Na 0.5403 0.5403 0.3791  6 O 2.35-2.50
Na 0.0351 0.0351 0.8948  6 O 2.43-2.53
Ta 0.3051 0.3051 0.0845  6 O 1.90-2.12
Tl 0.8183 0.8183 0.5453  6 O 2.26-2.28
O 0.5729 0.1849 0.2569  1 Ta 1.90
O 0.1851 0.9853 0.2558  1 Ta 1.90
O 0.9852 0.5733 0.2564  1 Ta 1.90
O 0.4657 0.6318 0.7807  1 Ta 2.12, 1 Tl 2.26
O 0.6327 0.1216 0.7809  1 Ta 2.12, 1 Tl 2.26
O 0.1212 0.4658 0.7808  1 Ta 2.12, 1 Tl 2.26

***

Record 5
Below is an optimized crystal structure of Na2TaTlO4, with properties calculated at the GGA-PBE level.

Properties
Energy relative to the elements, uncorrected: -2.05 eV per atom
Calculated total energy: -6.63 eV per atom
Symmetry: No. 121

a = 5.9168 Å, b = 5.9168 Å, c = 5.7851 Å
α = 120.75°, β = 120.75°, γ = 90.02°
With the nearest neighbours (Å) after each atom.
Positions (direct):
Na 0.7501 0.2501 0.5002  4 O 2.35
Na 0.2501 0.7501 0.5002  4 O 2.35
Ta 0.5000 0.5000 0.9999  4 O 1.88
Tl 0.0004 0.0004 0.0008  4 O 2.85
O 0.5503 0.5503 0.7320  1 Ta 1.88
O 0.4497 0.8181 0.2678  1 Ta 1.88
O 0.8181 0.4497 0.2678  1 Ta 1.88
O 0.1817 0.1817 0.7319  1 Ta 1.88

***

Record 6
Below is an optimized crystal structure of Na2Ta2TlO7, with properties calculated at the GGA-PBE level.

Properties
Energy relative to the elements, uncorrected: -2.20 eV per atom
Calculated total energy: -7.48 eV per atom
Symmetry: No. 139

a = 3.9582 Å, b = 3.9582 Å, c = 10.9585 Å
α = 79.61°, β = 79.61°, γ = 90.00°
With the nearest neighbours (Å) after each atom.
Positions (direct):
Na 0.8024 0.8024 0.3934  1 O 2.28
Na 0.1976 0.1976 0.6066  1 O 2.28
Ta 0.6082 0.6082 0.7832  5 O 1.85-1.99
Ta 0.3918 0.3918 0.2168  5 O 1.85-1.99
Tl 0.0000 0.0000 0.0000  12 O 2.80-2.90
O 0.5000 0.5000 0.0000  2 Ta 2.30
O 0.3050 0.3050 0.3914  1 Ta 1.85
O 0.6950 0.6950 0.6086  1 Ta 1.85
O 0.9007 0.4011 0.1995  2 Ta 1.99
O 0.4011 0.9007 0.1995  2 Ta 1.99
O 0.5989 0.0993 0.8005  2 Ta 1.99
O 0.0993 0.5989 0.8005  2 Ta 1.99

***

Record 7
Below is an optimized crystal structure of Na2UTaO6, with properties calculated at the GGA-PBE level.

Properties
Energy relative to the elements, uncorrected: -2.71 eV per atom
Calculated total energy: -8.26 eV per atom
Symmetry: No. 99

a = 4.2503 Å, b = 5.8211 Å, c = 5.8211 Å
α = 90.00°, β = 90.00°, γ = 90.00°
With the nearest neighbours (Å) after each atom.
Positions (direct):
Na 0.0580 0.5000 0.0000  4 O 2.60
Na 0.0580 0.0000 0.5000  4 O 2.60
U 0.6548 0.5000 0.5000  6 O 2.11-2.15
Ta 0.6097 0.0000 0.0000  5 O 1.85-2.00
O 0.6836 0.2394 0.2394  1 Ta 2.00, 1 U 2.15
O 0.6836 0.2394 0.7606  1 Ta 2.00, 1 U 2.15
O 0.1579 0.5000 0.5000  2 U 2.11-2.14
O 0.1742 0.0000 0.0000  1 Ta 1.85
O 0.6836 0.7606 0.7606  1 Ta 2.00, 1 U 2.15
O 0.6836 0.7606 0.2394  1 Ta 2.00, 1 U 2.15

***

Record 8
Below is an optimized crystal structure of NaUTaO6, with properties calculated at the GGA-PBE level.

Properties
Energy relative to the elements, uncorrected: -2.80 eV per atom
Calculated total energy: -8.83 eV per atom
Symmetry: No. 163

a = 5.5701 Å, b = 5.5701 Å, c = 10.1794 Å
α = 90.00°, β = 90.00°, γ = 120.00°
With the nearest neighbours (Å) after each atom.
Positions (direct):
Na 0.0000 0.0000 0.0000  6 O 2.56
Na 0.0000 0.0000 0.5000  6 O 2.56
U 0.6667 0.3333 0.2500  6 O 2.09
U 0.3333 0.6667 0.7500  6 O 2.09
Ta 0.3333 0.6667 0.2500  6 O 2.01
Ta 0.6667 0.3333 0.7500  6 O 2.01
O 0.6182 0.6295 0.1449  1 Ta 2.01, 1 U 2.09
O 0.0113 0.3818 0.1449  1 Ta 2.01, 1 U 2.09
O 0.3818 0.0113 0.6449  1 Ta 2.01, 1 U 2.09
O 0.9887 0.6182 0.8551  1 Ta 2.01, 1 U 2.09
O 0.3705 0.3818 0.3551  1 Ta 2.01, 1 U 2.09
O 0.0113 0.6295 0.3551  1 Ta 2.01, 1 U 2.09
O 0.6295 0.0113 0.8551  1 Ta 2.01, 1 U 2.09
O 0.6182 0.9887 0.3551  1 Ta 2.01, 1 U 2.09
O 0.9887 0.3705 0.6449  1 Ta 2.01, 1 U 2.09
O 0.3705 0.9887 0.1449  1 Ta 2.01, 1 U 2.09
O 0.6295 0.6182 0.6449  1 Ta 2.01, 1 U 2.09
O 0.3818 0.3705 0.8551  1 Ta 2.01, 1 U 2.09

***

M_tot list, top to bottom, in μB per formula unit: 2.03, 0.00, 0.00, 2.00, 0.00, 0.00, 1.00, 0.00